No. 1
A plane-wave DFT calculation with PBEsol was carried out for a geometry-optimized Be2CoNi structure.

Values from the calculation:
**E_form**: -0.43 eV/atom
**Energy above the lowest structure with this stoichiometry**: 0.002 eV/atom

abc: 3.620 3.620 2.590
angles: 90.00 90.00 90.00
Space group P4/mmm (No. 123)
Inequivalent atoms, fractional coordinates:
Be  0.000  0.500  0.000
Co  0.000  0.000  0.500
Ni  0.500  0.500  0.500

---

No. 2
A plane-wave DFT calculation with PBEsol was carried out for a geometry-optimized BeCoNi structure.

Values from the calculation:
**E_form**: -0.10 eV/atom

abc: 3.7188 3.7188 2.3668
angles: 90.00 90.00 120.00
Space group P3m1 (No. 156)
Inequivalent atoms, fractional coordinates:
Be  0.0000  0.0000  0.0000
Co  0.6667  0.3333  0.3351
Ni  0.3333  0.6667  0.7747